# TcHgW

TcHgW after structural relaxation (PBE, Alexandria via LeMat-Bulk).

It has space group I4mm (No. 107), with a = 3.059 Å, b = 3.059 Å, c = 11.221 Å, α = 90.00°, β = 90.00° and γ = 90.00°. The distinct sites, in fractional coordinates, are Tc at (0.000, 0.000, 0.000), Hg at (0.000, 0.000, 0.317) and W at (0.000, 0.000, 0.627).

As for the relative energy among the computed polymorphs: 0.000 eV per atom. The total magnetization is 0.000 μB/atom. Its formation energy from the elements is 0.4553 eV/atom. For the final energy, the calculation gives -7.418 eV/atom.